Density functional theory data (SCAN) for a crystal of Ca2TaIr relaxed with PBEsol.

Results
Total magnetization (μB per cell): 0.02
Offset from the most stable computed form (eV/atom): 0.011
Mass density (g cm⁻³): 7.34

Lattice parameters (Å, degrees): 3.382 3.382 8.960 90.00 90.00 90.00
Sites, in units of the cell vectors:
Ca 0.000 0.000 0.000
Ca 0.500 0.500 0.378
Ta 0.500 0.500 0.731
Ir 0.000 0.000 0.621


Density functional theory data (SCAN) for a crystal of CaAsRuSe2 relaxed with PBEsol.

Results
Total magnetization (μB per cell): 2.61
Formation energy from raw total energies (eV/atom): 1.022
Mass density (g cm⁻³): 4.49

Lattice parameters (Å, degrees): 5.166 5.166 5.183 90.00 90.00 90.00
Sites, in units of the cell vectors:
Ca 0.000 0.000 0.000
As 0.000 0.000 0.500
Ru 0.500 0.500 0.500
Se 0.000 0.500 0.000
Se 0.500 0.000 0.000


Density functional theory data (SCAN) for a crystal of Zn2TeP relaxed with PBEsol.

Results
Total magnetization (μB per cell): 0.00
Formation energy from raw total energies (eV/atom): 0.483
Offset from the most stable computed form (eV/atom): 0.684
Mass density (g cm⁻³): 6.54

Lattice parameters (Å, degrees): 4.472 4.472 3.676 90.00 90.00 90.00
Sites, in units of the cell vectors:
Zn 0.000 0.500 0.000
Zn 0.500 0.000 0.000
Te 0.000 0.000 0.500
P 0.500 0.500 0.500


Density functional theory data (SCAN) for a crystal of K2LaB2 relaxed with PBEsol.

Results
Total magnetization (μB per cell): 0.58
VASP energy (eV per atom): -13.579
Mass density (g cm⁻³): 3.58

Lattice parameters (Å, degrees): 8.274 8.274 3.236 90.00 90.00 90.00
Sites, in units of the cell vectors:
K 0.120 0.380 0.000
K 0.380 0.880 0.000
K 0.620 0.120 0.000
K 0.880 0.620 0.000
La 0.000 0.000 0.000
La 0.500 0.500 0.000
B 0.187 0.687 0.500
B 0.313 0.187 0.500
B 0.687 0.813 0.500
B 0.813 0.313 0.500


Density functional theory data (SCAN) for a crystal of AlAg3Bi relaxed with PBEsol.

Results
Total magnetization (μB per cell): 0.00
VASP energy (eV per atom): -35.641
Mass density (g cm⁻³): 8.35

Lattice parameters (Å, degrees): 4.809 4.809 4.809 90.00 90.00 90.00
Sites, in units of the cell vectors:
Al 0.000 0.000 0.000
Ag 0.000 0.000 0.500
Ag 0.000 0.500 0.000
Ag 0.500 0.000 0.000
Bi 0.500 0.500 0.500


Density functional theory data (SCAN) for a crystal of YTi3Sn relaxed with PBEsol.

Results
Total magnetization (μB per cell): 3.27
VASP energy (eV per atom): -21.713
Mass density (g cm⁻³): 4.59

Lattice parameters (Å, degrees): 5.026 5.026 5.026 90.00 90.00 90.00
Sites, in units of the cell vectors:
Y 0.000 0.000 0.000
Ti 0.000 0.500 0.500
Ti 0.500 0.000 0.500
Ti 0.500 0.500 0.000
Sn 0.500 0.500 0.500


Density functional theory data (SCAN) for a crystal of ZnReTe2I relaxed with PBEsol.

Results
Total magnetization (μB per cell): 0.00
Formation energy from raw total energies (eV/atom): 0.771
Mass density (g cm⁻³): 7.06

Lattice parameters (Å, degrees): 5.098 5.098 5.733 90.00 90.00 90.00
Sites, in units of the cell vectors:
Zn 0.000 0.000 0.000
Re 0.500 0.500 0.500
Te 0.000 0.500 0.500
Te 0.500 0.000 0.500
I 0.500 0.500 0.000


Density functional theory data (SCAN) for a crystal of RbNbS2 relaxed with PBEsol.

Results
Total magnetization (μB per cell): 0.01
Formation energy from raw total energies (eV/atom): -0.937
Mass density (g cm⁻³): 3.22

Lattice parameters (Å, degrees): 6.672 6.672 11.229 90.00 90.00 90.00
Sites, in units of the cell vectors:
Rb 0.000 0.000 0.000
Rb 0.000 0.500 0.250
Rb 0.500 0.000 0.750
Rb 0.500 0.500 0.500
Nb 0.000 0.000 0.500
Nb 0.000 0.500 0.750
Nb 0.500 0.000 0.250
Nb 0.500 0.500 0.000
S 0.123 0.750 0.625
S 0.250 0.123 0.375
S 0.250 0.377 0.875
S 0.377 0.750 0.125
S 0.623 0.250 0.125
S 0.750 0.623 0.875
S 0.750 0.877 0.375
S 0.877 0.250 0.625


Density functional theory data (SCAN) for a crystal of CaGeAs2Se relaxed with PBEsol.

Results
Total magnetization (μB per cell): 0.00
Formation energy from raw total energies (eV/atom): -0.059
Mass density (g cm⁻³): 4.66

Lattice parameters (Å, degrees): 4.895 4.895 5.076 90.00 90.00 90.00
Sites, in units of the cell vectors:
Ca 0.000 0.000 0.000
Ge 0.500 0.500 0.500
As 0.000 0.500 0.500
As 0.500 0.000 0.500
Se 0.500 0.500 0.000


Density functional theory data (SCAN) for a crystal of Hf2AlH2 relaxed with PBEsol.

Results
Total magnetization (μB per cell): 0.00
VASP energy (eV per atom): -27.991
Mass density (g cm⁻³): 10.33

Lattice parameters (Å, degrees): 6.551 6.551 2.891 90.00 90.00 90.00
Sites, in units of the cell vectors:
Hf 0.161 0.339 0.000
Hf 0.339 0.839 0.000
Hf 0.661 0.161 0.000
Hf 0.839 0.661 0.000
Al 0.000 0.000 0.500
Al 0.500 0.500 0.500
H 0.112 0.612 0.500
H 0.388 0.112 0.500
H 0.612 0.888 0.500
H 0.888 0.388 0.500


Density functional theory data (SCAN) for a crystal of Zr2SiBr relaxed with PBEsol.

Results
Total magnetization (μB per cell): 0.00
Formation energy from raw total energies (eV/atom): -0.446
Mass density (g cm⁻³): 6.49

Lattice parameters (Å, degrees): 6.674 6.674 6.674 90.00 90.00 90.00
Sites, in units of the cell vectors:
Zr 0.250 0.250 0.250
Zr 0.250 0.250 0.750
Zr 0.250 0.750 0.250
Zr 0.250 0.750 0.750
Zr 0.750 0.250 0.250
Zr 0.750 0.250 0.750
Zr 0.750 0.750 0.250
Zr 0.750 0.750 0.750
Si 0.000 0.000 0.000
Si 0.000 0.500 0.500
Si 0.500 0.000 0.500
Si 0.500 0.500 0.000
Br 0.000 0.000 0.500
Br 0.000 0.500 0.000
Br 0.500 0.000 0.000
Br 0.500 0.500 0.500


Density functional theory data (SCAN) for a crystal of SrMg2Mo relaxed with PBEsol.

Results
Total magnetization (μB per cell): 0.35
Offset from the most stable computed form (eV/atom): 0.096
Mass density (g cm⁻³): 4.26

Lattice parameters (Å, degrees): 4.448 4.448 9.160 90.00 90.00 90.00
Sites, in units of the cell vectors:
Sr 0.000 0.000 0.000
Sr 0.500 0.500 0.500
Mg 0.000 0.000 0.500
Mg 0.000 0.500 0.250
Mg 0.500 0.000 0.750
Mg 0.500 0.500 0.000
Mo 0.000 0.500 0.750
Mo 0.500 0.000 0.250